CdInHg2 after structural relaxation, computed with PBE.

Properties
VASP energy	-1.046	eV per atom

Cell: 4.6703 4.6703 9.3246 Å, 90.00 90.00 90.00°
Space group I4/mmm (No. 139)
Symmetry-distinct sites (fractional):
Cd 0.0000 0.0000 0.0000 x2
In 0.0000 0.0000 0.5000 x2
Hg 0.0000 0.5000 0.2500 x4



SrPb4Se after structural relaxation, computed with PBE.

Properties
VASP energy	-3.474	eV per atom
ΔE_f (raw)	-0.1408	eV/atom

Cell: 9.1770 9.1770 9.1770 Å, 90.00 90.00 90.00°
Space group F-43m (No. 216)
Symmetry-distinct sites (fractional):
Sr 0.0000 0.0000 0.0000 x4
Pb 0.1252 0.1252 0.6252 x16
Se 0.2500 0.2500 0.2500 x4



CaZr4 after structural relaxation, computed with PBE.

Properties
VASP energy	-6.803	eV per atom

Cell: 4.3414 4.3414 14.1472 Å, 90.00 90.00 90.00°
Space group I4/mmm (No. 139)
Symmetry-distinct sites (fractional):
Ca 0.0000 0.0000 0.0000 x2
Zr 0.0000 0.0000 0.4017 x4
Zr 0.0000 0.5000 0.2500 x4



Ba2Sn2Bi after structural relaxation, computed with PBE.

Properties
VASP energy	-3.223	eV per atom

Cell: 6.1862 6.1862 11.7191 Å, 90.00 90.00 90.00°
Space group I4/mmm (No. 139)
Symmetry-distinct sites (fractional):
Ba 0.0000 0.5000 0.2500 x4
Sn 0.0000 0.0000 0.1124 x4
Bi 0.0000 0.0000 0.5000 x2



What is the VASP energy in the second record? -3.474 eV per atom



Look up the VASP energy of the first one. -1.046 eV per atom



Which of these has the lowest VASP energy? CaZr4



What did the second record say?
SrPb4Se after structural relaxation, computed with PBE.

Properties
VASP energy	-3.474	eV per atom
ΔE_f (raw)	-0.1408	eV/atom

Cell: 9.1770 9.1770 9.1770 Å, 90.00 90.00 90.00°
Space group F-43m (No. 216)
Symmetry-distinct sites (fractional):
Sr 0.0000 0.0000 0.0000 x4
Pb 0.1252 0.1252 0.6252 x16
Se 0.2500 0.2500 0.2500 x4